1.
Computed, not measured: a relaxed structure of LaReAg3 at the GGA-PBE level of DFT.

Structure (POSCAR):
```
LaReAg3
1.0
5.231 0.000 0.000
0.000 5.231 0.000
0.000 0.000 5.231
Re La Ag
1 1 3
direct
0.500 0.500 0.500 Re
0.000 0.000 0.000 La
0.000 0.500 0.000 Ag
0.000 0.000 0.500 Ag
0.500 0.000 0.000 Ag
```

Computed properties:
E (eV per cell): -14.36
Energy relative to the lowest polymorph listed for this composition (eV per atom): 1.448


2.
Computed, not measured: a relaxed structure of LaRe4Ag at the GGA-PBE level of DFT.

Structure (POSCAR):
```
LaRe4Ag
1.0
0.000 3.833 3.833
3.833 0.000 3.833
3.833 3.833 0.000
La Re Ag
1 4 1
direct
0.000 0.000 0.000 La
0.376 0.376 0.872 Re
0.376 0.872 0.376 Re
0.872 0.376 0.376 Re
0.376 0.376 0.376 Re
0.750 0.750 0.750 Ag
```

Computed properties:
E (eV per cell): -54.96


3.
Computed, not measured: a relaxed structure of LaReAg2 at the GGA-PBE level of DFT.

Structure (POSCAR):
```
LaReAg2
1.0
2.908 0.005 0.000
-0.007 2.908 0.000
0.000 0.000 9.269
Re La Ag
1 1 2
direct
0.500 0.500 0.750 Re
0.500 0.500 0.250 La
0.000 0.000 0.967 Ag
0.000 0.000 0.533 Ag
```

Computed properties:
E (eV per cell): -20.73
Energy relative to the lowest polymorph listed for this composition (eV per atom): 0.167


4.
Computed, not measured: a relaxed structure of LaRe2Ag at the GGA-PBE level of DFT.

Structure (POSCAR):
```
LaRe2Ag
1.0
4.221 0.000 0.000
0.000 4.221 0.000
2.110 2.110 9.994
Re Ag La
4 2 2
direct
0.875 0.777 0.750 Re
0.527 0.125 0.250 Re
0.375 0.473 0.750 Re
0.223 0.625 0.250 Re
0.250 0.750 0.500 Ag
0.500 0.500 0.000 Ag
0.000 0.000 0.000 La
0.750 0.250 0.500 La
```

Computed properties:
E (eV per cell): -58.74
Energy relative to the lowest polymorph listed for this composition (eV per atom): 0.600


5.
Computed, not measured: a relaxed structure of LaReAg at the GGA-PBE level of DFT.

Structure (POSCAR):
```
LaReAg
1.0
5.727 0.004 0.000
3.465 4.560 0.000
-4.596 -2.282 2.543
Ag Re La
1 1 1
direct
0.968 0.968 0.000 Ag
0.361 0.361 0.000 Re
0.671 0.671 0.000 La
```

Computed properties:
E (eV per cell): -18.26
Energy relative to the lowest polymorph listed for this composition (eV per atom): 0.060


6.
Computed, not measured: a relaxed structure of LaReAg2 at the GGA-PBE level of DFT.

Structure (POSCAR):
```
LaReAg2
1.0
-2.556 0.460 1.300
0.136 -2.641 1.202
4.433 3.613 7.438
Ag Re La
2 1 1
direct
0.000 0.000 0.994 Ag
0.500 0.500 0.220 Ag
0.500 0.500 0.776 Re
0.000 0.000 0.509 La
```

Computed properties:
E (eV per cell): -21.17
Energy relative to the lowest polymorph listed for this composition (eV per atom): 0.058


7.
Computed, not measured: a relaxed structure of LaReAg2 at the GGA-PBE level of DFT.

Structure (POSCAR):
```
LaReAg2
1.0
-0.526 1.931 -2.066
0.368 -3.100 -2.992
-6.479 -1.242 0.490
Ag Re La
2 1 1
direct
0.500 0.500 0.207 Ag
0.000 0.000 0.996 Ag
0.500 0.500 0.780 Re
0.000 0.000 0.518 La
```

Computed properties:
E (eV per cell): -21.12
Energy relative to the lowest polymorph listed for this composition (eV per atom): 0.069


8.
Computed, not measured: a relaxed structure of LaReAg at the GGA-PBE level of DFT.

Structure (POSCAR):
```
LaReAg
1.0
5.818 0.036 -0.014
3.504 4.645 0.014
-4.216 -3.227 2.380
La Ag Re
1 1 1
direct
0.327 0.327 0.000 La
0.028 0.028 0.000 Ag
0.645 0.645 0.000 Re
```

Computed properties:
E (eV per cell): -18.44
Energy relative to the lowest polymorph listed for this composition (eV per atom): 0.000


| no. | total magnetization (μB per cell) | DFT formation energy (eV per formula unit) |
| --- | --- | --- |
| 1 | 0.00 | 11.572 |
| 2 | 0.00 | 2.609 |
| 3 | 0.00 | 2.346 |
| 4 | 0.00 | 3.305 |
| 5 | 0.00 | 1.964 |
| 6 | 0.00 | 1.913 |
| 7 | 0.00 | 1.955 |
| 8 | 0.00 | 1.784 |